[1]
DFT (PBE) results for an optimized crystal structure of ReRh2S.

Its uncorrected formation energy is 0.517 eV/atom. As for the density of states at the Fermi level: 11.50 states/eV/cell.

a b c (Å): 5.4808 5.4808 10.6213
angles (deg): 90.00 90.00 90.00
With the nearest neighbours (Å) after each atom.
Space group I-42d (No. 122)
Unique sites:
1 Re 0.0000 0.0000 0.0000 (multiplicity 4)  4 Rh 2.40
2 Rh 0.2357 0.2500 0.6250 (multiplicity 8)  2 S 2.30, 2 Re 2.40
3 S 0.0000 0.0000 0.5000 (multiplicity 4)  4 Rh 2.30

---

[2]
DFT (PBE) results for an optimized crystal structure of LiCePrHo.

As for the formation energy: 1.141 eV/f.u. As for the density of states at the Fermi level: 36.47 states/eV/cell.

a b c (Å): 7.7419 7.7419 7.7419
angles (deg): 90.00 90.00 90.00
With the nearest neighbours (Å) after each atom.
Space group F-43m (No. 216)
Unique sites:
1 Li 0.0000 0.0000 0.0000 (multiplicity 4)  4 Pr 3.35, 4 Ho 3.35
2 Ce 0.0000 0.0000 0.5000 (multiplicity 4)  4 Ho 3.35, 4 Pr 3.35
3 Pr 0.2500 0.2500 0.7500 (multiplicity 4)  4 Ce 3.35, 4 Li 3.35
4 Ho 0.2500 0.2500 0.2500 (multiplicity 4)  4 Ce 3.35, 4 Li 3.35

---

[3]
DFT (PBE) results for an optimized crystal structure of AsP3S.

Its uncorrected formation energy is 1.336 eV/atom. As for the density of states at the Fermi level: 5.71 states/eV/cell. For the polymorph energy (0 for the lowest one), the calculation gives 319 meV/atom.

a b c (Å): 4.7039 4.7039 4.7039
angles (deg): 90.00 90.00 90.00
With the nearest neighbours (Å) after each atom.
Space group Pm-3m (No. 221)
Unique sites:
1 As 0.0000 0.0000 0.0000 (multiplicity 1)  6 P 2.35
2 P 0.0000 0.0000 0.5000 (multiplicity 3)  2 As 2.35
3 S 0.5000 0.5000 0.5000 (multiplicity 1)  12 P 3.33

---

[4]
DFT (PBE) results for an optimized crystal structure of NbSe3Cl.

Its uncorrected formation energy is -0.420 eV/atom. For the polymorph energy (0 for the lowest one), the calculation gives 0 meV/atom.

a b c (Å): 4.2318 8.2845 10.8719
angles (deg): 109.42 90.06 104.77
With the nearest neighbours (Å) after each atom.
Space group P-1 (No. 2)
Unique sites:
1 Nb 0.1664 0.3328 0.3804 (multiplicity 2)  4 Se 2.35-2.57
2 Se 0.0303 0.0611 0.2047 (multiplicity 2)  1 Nb 2.35
3 Se 0.1956 0.3916 0.1711 (multiplicity 2)  1 Cl 2.30, 1 Nb 2.48
4 Se 0.3466 0.6939 0.4940 (multiplicity 2)  3 Nb 2.57-2.73
5 Cl 0.3431 0.6856 0.1878 (multiplicity 2)  1 Se 2.30

---

[5]
DFT (PBE) results for an optimized crystal structure of Ba3SrCa.

As for the formation energy: 2.811 eV/f.u. As for the density of states at the Fermi level: 8.52 states/eV/cell. For the polymorph energy (0 for the lowest one), the calculation gives 552 meV/atom.

a b c (Å): 7.0366 7.0366 7.0366
angles (deg): 90.00 90.00 90.00
With the nearest neighbours (Å) after each atom.
Space group Pm-3m (No. 221)
Unique sites:
1 Ba 0.0000 0.0000 0.5000 (multiplicity 3)  2 Sr 3.52
2 Sr 0.0000 0.0000 0.0000 (multiplicity 1)  6 Ba 3.52
3 Ca 0.5000 0.5000 0.5000 (multiplicity 1)  12 Ba 4.98

---

[6]
DFT (PBE) results for an optimized crystal structure of MgNiMo.

As for the formation energy: 0.039 eV/f.u. As for the density of states at the Fermi level: 21.14 states/eV/cell. For the polymorph energy (0 for the lowest one), the calculation gives 3 meV/atom.

a b c (Å): 4.8719 8.4859 8.6717
angles (deg): 90.00 90.00 90.00
With the nearest neighbours (Å) after each atom.
Space group Fmmm (No. 69)
Unique sites:
1 Mg 0.0000 0.0000 0.1586 (multiplicity 8)  4 Ni 2.57, 1 Mg 2.75
2 Ni 0.2500 0.2500 0.2500 (multiplicity 8)  2 Ni 2.44, 4 Mg 2.57, 4 Mo 2.59
3 Mo 0.0000 0.1650 0.5000 (multiplicity 8)  4 Ni 2.59, 3 Mo 2.80-2.83

---

[7]
DFT (PBE) results for an optimized crystal structure of MgBeW4.

As for the formation energy: 4.722 eV/f.u. As for the density of states at the Fermi level: 28.46 states/eV/cell.

a b c (Å): 7.4868 7.4868 7.4868
angles (deg): 90.00 90.00 90.00
With the nearest neighbours (Å) after each atom.
Space group F-43m (No. 216)
Unique sites:
1 Mg 0.0000 0.0000 0.0000 (multiplicity 4)  12 W 3.10, 4 Be 3.24
2 Be 0.2500 0.2500 0.7500 (multiplicity 4)  12 W 3.10, 4 Mg 3.24
3 W 0.1249 0.1249 0.3751 (multiplicity 16)  6 W 2.65

---

[8]
DFT (PBE) results for an optimized crystal structure of SrGe3F.

Its uncorrected formation energy is 1.012 eV/atom. As for the density of states at the Fermi level: 8.02 states/eV/cell. For the polymorph energy (0 for the lowest one), the calculation gives 1409 meV/atom.

a b c (Å): 5.8675 5.8675 5.8675
angles (deg): 90.00 90.00 90.00
With the nearest neighbours (Å) after each atom.
Space group Pm-3m (No. 221)
Unique sites:
1 Sr 0.0000 0.0000 0.0000 (multiplicity 1)  6 Ge 2.93
2 Ge 0.0000 0.0000 0.5000 (multiplicity 3)  2 Sr 2.93
3 F 0.5000 0.5000 0.5000 (multiplicity 1)  12 Ge 4.15